A plane-wave DFT calculation with PBE was carried out for a relaxed structure of Zn4W.

Cell: 6.1317 6.1317 6.1317 Å, 145.22 145.22 50.01°
Fractional coordinates of all 5 atoms:
Zn1 0.3993 0.3993 0.0000
Zn2 0.6007 0.6007 0.0000
Zn3 0.2500 0.7500 0.5000
Zn4 0.7500 0.2500 0.5000
W1 0.0000 0.0000 0.0000

## Properties
crystal system: tetragonal

A plane-wave DFT calculation with PBE was carried out for a relaxed structure of Zn3W.

Cell: 5.4470 5.4470 9.0262 Å, 90.00 90.00 60.00°
Fractional coordinates of all 16 atoms:
Zn1 0.1661 0.1661 0.2500
Zn2 0.8339 0.8339 0.7500
Zn3 0.6679 0.1661 0.2500
Zn4 0.0000 0.5000 0.0000
Zn5 0.8339 0.3321 0.7500
Zn6 0.5000 0.0000 0.5000
Zn7 0.1661 0.6679 0.2500
Zn8 0.5000 0.0000 0.0000
Zn9 0.0000 0.5000 0.5000
Zn10 0.3321 0.8339 0.7500
Zn11 0.5000 0.5000 0.5000
Zn12 0.5000 0.5000 0.0000
W1 0.0000 0.0000 0.5000
W2 0.6667 0.6667 0.2500
W3 0.3333 0.3333 0.7500
W4 0.0000 0.0000 0.0000

## Properties
crystal system: hexagonal

A plane-wave DFT calculation with PBE was carried out for a relaxed structure of ZnW2.

Cell: 5.4738 4.3126 7.9515 Å, 90.00 90.00 90.00°
Fractional coordinates of all 12 atoms:
Zn1 0.1658 0.2500 0.9223
Zn2 0.3342 0.7500 0.4223
Zn3 0.6658 0.2500 0.5777
Zn4 0.8342 0.7500 0.0777
W1 0.4603 0.7500 0.7671
W2 0.3319 0.7500 0.0900
W3 0.9603 0.7500 0.7329
W4 0.6681 0.2500 0.9100
W5 0.8319 0.7500 0.4100
W6 0.5397 0.2500 0.2329
W7 0.1681 0.2500 0.5900
W8 0.0397 0.2500 0.2671

## Properties
crystal system: orthorhombic
E above lowest polymorph: 134 meV/atom

A plane-wave DFT calculation with PBE was carried out for a relaxed structure of Zn3W.

Cell: 2.7321 4.9310 4.7951 Å, 104.68 90.00 73.92°
Fractional coordinates of all 4 atoms:
Zn1 0.7562 0.4877 0.7573
Zn2 0.2438 0.5123 0.2427
Zn3 0.5000 0.0000 0.5000
W1 0.0000 0.0000 0.0000

## Properties
crystal system: monoclinic

A plane-wave DFT calculation with PBE was carried out for a relaxed structure of ZnW2.

Cell: 5.2912 5.2912 5.2912 Å, 60.00 60.00 60.00°
Fractional coordinates of all 6 atoms:
W1 0.6250 0.1250 0.6250
W2 0.6250 0.6250 0.1250
W3 0.6250 0.6250 0.6250
W4 0.1250 0.6250 0.6250
Zn1 0.0000 0.0000 0.0000
Zn2 0.2500 0.2500 0.2500

## Properties
crystal system: cubic
E above lowest polymorph: 573 meV/atom

A plane-wave DFT calculation with PBE was carried out for a relaxed structure of ZnW2.

Cell: 6.7972 6.7972 6.7972 Å, 157.27 157.27 32.37°
Fractional coordinates of all 3 atoms:
W1 0.6714 0.6714 0.0000
W2 0.9952 0.9952 0.0000
Zn1 0.3333 0.3333 0.0000

## Properties
crystal system: tetragonal
E above lowest polymorph: 174 meV/atom

A plane-wave DFT calculation with PBE was carried out for a relaxed structure of Zn3W.

Cell: 5.4133 5.4133 4.6146 Å, 90.00 90.00 120.00°
Fractional coordinates of all 8 atoms:
Zn1 0.8326 0.1674 0.2500
Zn2 0.1674 0.8326 0.7500
Zn3 0.6652 0.8326 0.7500
Zn4 0.1674 0.3348 0.7500
Zn5 0.3348 0.1674 0.2500
Zn6 0.8326 0.6652 0.2500
W1 0.6667 0.3333 0.7500
W2 0.3333 0.6667 0.2500

## Properties
crystal system: hexagonal

A plane-wave DFT calculation with PBE was carried out for a relaxed structure of ZnW2.

Cell: 3.7673 3.7673 3.7734 Å, 90.00 90.00 90.00°
Fractional coordinates of all 3 atoms:
Zn1 0.0000 0.0000 0.0000
W1 0.0000 0.5000 0.5000
W2 0.5000 0.0000 0.5000

## Properties
crystal system: tetragonal
E above lowest polymorph: 905 meV/atom

Number 1: energy of formation from the pure elements 0.51 eV per atom. Number 2: energy of formation from the pure elements 0.20 eV per atom. Number 3: energy of formation from the pure elements 0.32 eV per atom. Number 4: energy of formation from the pure elements 0.25 eV per atom. Number 5: energy of formation from the pure elements 0.76 eV per atom. Number 6: energy of formation from the pure elements 0.36 eV per atom. Number 7: energy of formation from the pure elements 0.29 eV per atom. Number 8: energy of formation from the pure elements 1.09 eV per atom.